# PBE TcP4, relaxed
data_TcP4
_cell_length_a 4.572
_cell_length_b 4.572
_cell_length_c 4.572
_cell_angle_alpha 90.00
_cell_angle_beta 90.00
_cell_angle_gamma 90.00
_symmetry_space_group_name_H-M 'P 1'
_symmetry_Int_Tables_number 1
loop_
_symmetry_equiv_pos_as_xyz
'x,y,z'
loop_
_atom_site_label
_atom_site_type_symbol
_atom_site_fract_x
_atom_site_fract_y
_atom_site_fract_z
Tc1 Tc 0.000 0.000 0.000
P1 P 0.000 0.000 0.500
P2 P 0.000 0.500 0.000
P3 P 0.500 0.000 0.000
P4 P 0.500 0.500 0.500
# DFT formation energy, kJ per mole of atoms: 78.4
# Uncorrected energy, eV for the cell shown: -27.9



# PBE Tc5P, relaxed
data_Tc5P
_cell_length_a 5.931
_cell_length_b 5.931
_cell_length_c 3.904
_cell_angle_alpha 90.00
_cell_angle_beta 90.00
_cell_angle_gamma 141.73
_symmetry_space_group_name_H-M 'P 1'
_symmetry_Int_Tables_number 1
loop_
_symmetry_equiv_pos_as_xyz
'x,y,z'
loop_
_atom_site_label
_atom_site_type_symbol
_atom_site_fract_x
_atom_site_fract_y
_atom_site_fract_z
Tc1 Tc 0.000 0.000 0.000
Tc2 Tc 0.171 0.829 0.500
Tc3 Tc 0.335 0.665 0.000
Tc4 Tc 0.665 0.335 0.000
Tc5 Tc 0.829 0.171 0.500
P1 P 0.500 0.500 0.500
# DFT formation energy, kJ per mole of atoms: 5.9
# Uncorrected energy, eV for the cell shown: -56.9



# PBE TcP2, relaxed
data_TcP2
_cell_length_a 6.038
_cell_length_b 6.038
_cell_length_c 6.038
_cell_angle_alpha 151.93
_cell_angle_beta 151.93
_cell_angle_gamma 40.11
_symmetry_space_group_name_H-M 'P 1'
_symmetry_Int_Tables_number 1
loop_
_symmetry_equiv_pos_as_xyz
'x,y,z'
loop_
_atom_site_label
_atom_site_type_symbol
_atom_site_fract_x
_atom_site_fract_y
_atom_site_fract_z
Tc1 Tc 0.000 0.000 0.000
P1 P 0.375 0.375 0.000
P2 P 0.625 0.625 0.000
# DFT formation energy, kJ per mole of atoms: -8.4
# Uncorrected energy, eV for the cell shown: -21.4



# PBE TcP, relaxed
data_TcP
_cell_length_a 2.932
_cell_length_b 2.932
_cell_length_c 8.143
_cell_angle_alpha 90.00
_cell_angle_beta 90.00
_cell_angle_gamma 120.00
_symmetry_space_group_name_H-M 'P 1'
_symmetry_Int_Tables_number 1
loop_
_symmetry_equiv_pos_as_xyz
'x,y,z'
loop_
_atom_site_label
_atom_site_type_symbol
_atom_site_fract_x
_atom_site_fract_y
_atom_site_fract_z
Tc1 Tc 0.333 0.667 0.136
Tc2 Tc 0.667 0.333 0.864
P1 P 0.333 0.667 0.660
P2 P 0.667 0.333 0.340
# DFT formation energy, kJ per mole of atoms: -14.6
# Uncorrected energy, eV for the cell shown: -32.2



# PBE TcP, relaxed
data_TcP
_cell_length_a 5.757
_cell_length_b 5.757
_cell_length_c 4.327
_cell_angle_alpha 90.00
_cell_angle_beta 90.00
_cell_angle_gamma 90.00
_symmetry_space_group_name_H-M 'P 1'
_symmetry_Int_Tables_number 1
loop_
_symmetry_equiv_pos_as_xyz
'x,y,z'
loop_
_atom_site_label
_atom_site_type_symbol
_atom_site_fract_x
_atom_site_fract_y
_atom_site_fract_z
Tc1 Tc 0.176 0.176 0.000
Tc2 Tc 0.324 0.676 0.500
Tc3 Tc 0.676 0.324 0.500
Tc4 Tc 0.824 0.824 0.000
P1 P 0.219 0.781 0.000
P2 P 0.281 0.281 0.500
P3 P 0.719 0.719 0.500
P4 P 0.781 0.219 0.000
# DFT formation energy, kJ per mole of atoms: 1.6
# Uncorrected energy, eV for the cell shown: -63.0



# PBE TcP, relaxed
data_TcP
_cell_length_a 4.647
_cell_length_b 4.647
_cell_length_c 4.647
_cell_angle_alpha 131.83
_cell_angle_beta 131.83
_cell_angle_gamma 70.49
_symmetry_space_group_name_H-M 'P 1'
_symmetry_Int_Tables_number 1
loop_
_symmetry_equiv_pos_as_xyz
'x,y,z'
loop_
_atom_site_label
_atom_site_type_symbol
_atom_site_fract_x
_atom_site_fract_y
_atom_site_fract_z
Tc1 Tc 0.375 0.625 0.750
Tc2 Tc 0.625 0.375 0.250
P1 P 0.125 0.875 0.250
P2 P 0.875 0.125 0.750
# DFT formation energy, kJ per mole of atoms: 13.0
# Uncorrected energy, eV for the cell shown: -31.0



# PBE TcP, relaxed
data_TcP
_cell_length_a 4.002
_cell_length_b 4.002
_cell_length_c 4.002
_cell_angle_alpha 43.06
_cell_angle_beta 43.06
_cell_angle_gamma 43.06
_symmetry_space_group_name_H-M 'P 1'
_symmetry_Int_Tables_number 1
loop_
_symmetry_equiv_pos_as_xyz
'x,y,z'
loop_
_atom_site_label
_atom_site_type_symbol
_atom_site_fract_x
_atom_site_fract_y
_atom_site_fract_z
Tc1 Tc 0.000 0.000 0.000
P1 P 0.500 0.500 0.500
# DFT formation energy, kJ per mole of atoms: -22.4
# Uncorrected energy, eV for the cell shown: -16.2



# PBE TcP, relaxed
data_TcP
_cell_length_a 3.456
_cell_length_b 3.456
_cell_length_c 3.456
_cell_angle_alpha 60.00
_cell_angle_beta 60.00
_cell_angle_gamma 60.00
_symmetry_space_group_name_H-M 'P 1'
_symmetry_Int_Tables_number 1
loop_
_symmetry_equiv_pos_as_xyz
'x,y,z'
loop_
_atom_site_label
_atom_site_type_symbol
_atom_site_fract_x
_atom_site_fract_y
_atom_site_fract_z
Tc1 Tc 0.000 0.000 0.000
P1 P 0.500 0.500 0.500
# DFT formation energy, kJ per mole of atoms: 9.0
# Uncorrected energy, eV for the cell shown: -15.6



# PBE TcP2, relaxed
data_TcP2
_cell_length_a 5.436
_cell_length_b 4.043
_cell_length_c 7.454
_cell_angle_alpha 90.00
_cell_angle_beta 90.00
_cell_angle_gamma 90.00
_symmetry_space_group_name_H-M 'P 1'
_symmetry_Int_Tables_number 1
loop_
_symmetry_equiv_pos_as_xyz
'x,y,z'
loop_
_atom_site_label
_atom_site_type_symbol
_atom_site_fract_x
_atom_site_fract_y
_atom_site_fract_z
Tc1 Tc 0.239 0.250 0.170
Tc2 Tc 0.261 0.750 0.670
Tc3 Tc 0.739 0.250 0.330
Tc4 Tc 0.761 0.750 0.830
P1 P 0.073 0.750 0.355
P2 P 0.160 0.750 0.989
P3 P 0.340 0.250 0.489
P4 P 0.427 0.250 0.855
P5 P 0.573 0.750 0.145
P6 P 0.660 0.750 0.511
P7 P 0.840 0.250 0.011
P8 P 0.927 0.250 0.645
# DFT formation energy, kJ per mole of atoms: -15.2
# Uncorrected energy, eV for the cell shown: -86.6



# PBE Tc3P2, relaxed
data_Tc3P2
_cell_length_a 9.654
_cell_length_b 9.654
_cell_length_c 9.654
_cell_angle_alpha 17.19
_cell_angle_beta 17.19
_cell_angle_gamma 17.19
_symmetry_space_group_name_H-M 'P 1'
_symmetry_Int_Tables_number 1
loop_
_symmetry_equiv_pos_as_xyz
'x,y,z'
loop_
_atom_site_label
_atom_site_type_symbol
_atom_site_fract_x
_atom_site_fract_y
_atom_site_fract_z
Tc1 Tc 0.000 0.000 0.000
Tc2 Tc 0.206 0.206 0.206
Tc3 Tc 0.794 0.794 0.794
P1 P 0.398 0.398 0.398
P2 P 0.602 0.602 0.602
# DFT formation energy, kJ per mole of atoms: -13.1
# Uncorrected energy, eV for the cell shown: -42.6



# PBE TcP5, relaxed
data_TcP5
_cell_length_a 4.591
_cell_length_b 4.591
_cell_length_c 7.812
_cell_angle_alpha 90.11
_cell_angle_beta 90.11
_cell_angle_gamma 39.23
_symmetry_space_group_name_H-M 'P 1'
_symmetry_Int_Tables_number 1
loop_
_symmetry_equiv_pos_as_xyz
'x,y,z'
loop_
_atom_site_label
_atom_site_type_symbol
_atom_site_fract_x
_atom_site_fract_y
_atom_site_fract_z
Tc1 Tc 0.000 0.000 0.000
P1 P 0.285 0.285 0.342
P2 P 0.286 0.286 0.053
P3 P 0.532 0.532 0.242
P4 P 0.585 0.585 0.746
P5 P 0.918 0.918 0.686
# DFT formation energy, kJ per mole of atoms: 6.9
# Uncorrected energy, eV for the cell shown: -37.0



# PBE TcP5, relaxed
data_TcP5
_cell_length_a 4.432
_cell_length_b 7.478
_cell_length_c 7.478
_cell_angle_alpha 24.34
_cell_angle_beta 90.00
_cell_angle_gamma 90.00
_symmetry_space_group_name_H-M 'P 1'
_symmetry_Int_Tables_number 1
loop_
_symmetry_equiv_pos_as_xyz
'x,y,z'
loop_
_atom_site_label
_atom_site_type_symbol
_atom_site_fract_x
_atom_site_fract_y
_atom_site_fract_z
Tc1 Tc 0.000 0.000 0.000
P1 P 0.000 0.370 0.370
P2 P 0.000 0.632 0.632
P3 P 0.500 0.071 0.071
P4 P 0.500 0.437 0.437
P5 P 0.500 0.689 0.689
# DFT formation energy, kJ per mole of atoms: 16.6
# Uncorrected energy, eV for the cell shown: -36.4



# PBE TcP2, relaxed
data_TcP2
_cell_length_a 5.742
_cell_length_b 5.742
_cell_length_c 5.884
_cell_angle_alpha 117.42
_cell_angle_beta 117.42
_cell_angle_gamma 30.58
_symmetry_space_group_name_H-M 'P 1'
_symmetry_Int_Tables_number 1
loop_
_symmetry_equiv_pos_as_xyz
'x,y,z'
loop_
_atom_site_label
_atom_site_type_symbol
_atom_site_fract_x
_atom_site_fract_y
_atom_site_fract_z
Tc1 Tc 0.142 0.142 0.062
Tc2 Tc 0.858 0.858 0.938
P1 P 0.172 0.172 0.675
P2 P 0.448 0.448 0.731
P3 P 0.552 0.552 0.269
P4 P 0.828 0.828 0.325
# DFT formation energy, kJ per mole of atoms: -18.8
# Uncorrected energy, eV for the cell shown: -43.5



Number 1: polymorph energy (0 for the lowest one) 1.223 eV per atom, M_tot 0.000 μB per formula unit, density of states at the Fermi level 4.98 states/eV/f.u.. Number 2: polymorph energy (0 for the lowest one) 0.170 eV per atom, M_tot 0.000 μB per formula unit, density of states at the Fermi level 6.94 states/eV/f.u.. Number 3: polymorph energy (0 for the lowest one) 0.305 eV per atom, M_tot 0.000 μB per formula unit, density of states at the Fermi level 1.59 states/eV/f.u.. Number 4: polymorph energy (0 for the lowest one) 0.417 eV per atom, M_tot 0.000 μB per formula unit, density of states at the Fermi level 0.53 states/eV/f.u.. Number 5: polymorph energy (0 for the lowest one) 0.586 eV per atom, M_tot 0.000 μB per formula unit, density of states at the Fermi level 1.45 states/eV/f.u.. Number 6: polymorph energy (0 for the lowest one) 0.703 eV per atom, M_tot 0.000 μB per formula unit, density of states at the Fermi level 1.13 states/eV/f.u.. Number 7: polymorph energy (0 for the lowest one) 0.337 eV per atom, M_tot 0.000 μB per formula unit, density of states at the Fermi level 1.66 states/eV/f.u.. Number 8: polymorph energy (0 for the lowest one) 0.662 eV per atom, M_tot 0.000 μB per formula unit, density of states at the Fermi level 1.33 states/eV/f.u.. Number 9: polymorph energy (0 for the lowest one) 0.234 eV per atom, M_tot 0.000 μB per formula unit, density of states at the Fermi level 1.25 states/eV/f.u.. Number 10: polymorph energy (0 for the lowest one) 0.378 eV per atom, M_tot 0.000 μB per formula unit, density of states at the Fermi level 5.70 states/eV/f.u.. Number 11: polymorph energy (0 for the lowest one) 0.000 eV per atom, M_tot 0.000 μB per formula unit, density of states at the Fermi level 2.98 states/eV/f.u.. Number 12: polymorph energy (0 for the lowest one) 0.101 eV per atom, M_tot 0.000 μB per formula unit, density of states at the Fermi level 1.66 states/eV/f.u.. Number 13: polymorph energy (0 for the lowest one) 0.197 eV per atom, M_tot 0.000 μB per formula unit, density of states at the Fermi level 0.98 states/eV/f.u..